The following is a PBE calculation of an optimized crystal structure of Ti2In3Cl9, from Alexandria.

```
Ti2In3Cl9
1.0
-2.893 4.609 -4.840
-1.808 -7.053 -0.156
-13.187 3.140 10.872
Ti In Cl
4 6 18
Direct
0.333 0.667 0.825
0.333 0.667 0.667
0.667 0.333 0.325
0.667 0.333 0.167
0.333 0.667 0.052
0.333 0.667 0.454
0.000 0.000 0.289
0.000 0.000 0.789
0.667 0.333 0.954
0.667 0.333 0.552
0.178 0.822 0.588
0.178 0.822 0.907
0.015 0.508 0.748
0.492 0.985 0.748
0.178 0.356 0.907
0.178 0.357 0.588
0.492 0.508 0.748
0.644 0.822 0.907
0.643 0.822 0.588
0.356 0.178 0.407
0.357 0.178 0.088
0.508 0.492 0.248
0.822 0.643 0.088
0.822 0.644 0.407
0.508 0.015 0.248
0.985 0.492 0.248
0.822 0.178 0.088
0.822 0.178 0.407
```

Output
Raw formation energy ... -1.275 eV/atom
Size of the total moment ... 0.0 Bohr magnetons per cell